# 1
The following is a PBE calculation of a relaxed structure of ReTeS2, from the Alexandria database.

Unit cell a=6.4957 b=6.4957 c=6.4803 alpha=59.92 beta=59.92 gamma=90.00
Fractional coordinates of all 8 atoms:
Re: 0.0000 0.0000 0.0000
Re: 0.7500 0.2500 0.5000
S: 0.7178 0.1250 0.2500
S: 0.0322 0.6250 0.2500
S: 0.3750 0.2822 0.7500
S: 0.8750 0.9678 0.7500
Te: 0.5000 0.5000 0.0000
Te: 0.2500 0.7500 0.5000

## Properties
total DFT energy (no corrections)	-5.63	eV/atom
SG	I-42d (122)

# 2
The following is a PBE calculation of a relaxed structure of Ge2BS6, from the Alexandria database.

Unit cell a=6.1083 b=8.5958 c=8.5958 alpha=94.69 beta=73.44 gamma=73.44
Fractional coordinates of all 18 atoms:
Ge: 0.0848 0.6407 0.8074
Ge: 0.4152 0.1926 0.3593
Ge: 0.9152 0.3593 0.1926
Ge: 0.5848 0.8074 0.6407
B: 0.2500 0.2109 0.7891
B: 0.7500 0.7891 0.2109
S: 0.2667 0.7513 0.5979
S: 0.2333 0.4021 0.2487
S: 0.7333 0.2487 0.4021
S: 0.7667 0.5979 0.7513
S: 0.8462 0.8223 0.4002
S: 0.6538 0.5998 0.1777
S: 0.1538 0.1777 0.5998
S: 0.3462 0.4002 0.8223
S: 0.0327 0.8007 0.0446
S: 0.4673 0.9554 0.1993
S: 0.9673 0.1993 0.9554
S: 0.5327 0.0446 0.8007

## Properties
total DFT energy (no corrections)	-4.71	eV/atom
SG	C2/c (15)

# 3
The following is a PBE calculation of a relaxed structure of CsKNi2Br, from the Alexandria database.

Unit cell a=5.0047 b=6.9837 c=5.0047 alpha=90.00 beta=90.00 gamma=90.00
Fractional coordinates of all 5 atoms:
Cs: 0.0000 0.0000 0.0000
Ni: 0.0000 0.0000 0.5000
Ni: 0.5000 0.0000 0.0000
K: 0.5000 0.5000 0.5000
Br: 0.0000 0.5000 0.0000

## Properties
total DFT energy (no corrections)	-2.31	eV/atom
SG	P4/mmm (123)

# 4
The following is a PBE calculation of a relaxed structure of Li3Pa4Se12, from the Alexandria database.

Unit cell a=8.9988 b=8.9988 c=8.9988 alpha=109.47 beta=109.47 gamma=109.47
Fractional coordinates of all 19 atoms:
Li: 0.5000 0.0000 0.5000
Li: 0.5000 0.5000 0.0000
Li: 0.0000 0.5000 0.5000
Pa: 0.0000 0.0000 0.5000
Pa: 0.5000 0.5000 0.5000
Pa: 0.5000 0.0000 0.0000
Pa: 0.0000 0.5000 0.0000
Se: 0.6899 0.5104 0.8205
Se: 0.3101 0.4896 0.1795
Se: 0.3101 0.1306 0.8205
Se: 0.5104 0.8205 0.6899
Se: 0.8205 0.3101 0.1306
Se: 0.1795 0.3101 0.4896
Se: 0.1306 0.8205 0.3101
Se: 0.1795 0.6899 0.8694
Se: 0.6899 0.8694 0.1795
Se: 0.4896 0.1795 0.3101
Se: 0.8205 0.6899 0.5104
Se: 0.8694 0.1795 0.6899

## Properties
total DFT energy (no corrections)	-5.65	eV/atom
SG	Im-3 (204)

# 5
The following is a PBE calculation of a relaxed structure of NaTlAs2, from the Alexandria database.

Unit cell a=8.0992 b=8.0992 c=6.4678 alpha=51.24 beta=51.24 gamma=90.00
Fractional coordinates of all 8 atoms:
Na: 0.5000 0.5000 0.0000
Na: 0.2500 0.7500 0.5000
Tl: 0.0000 0.0000 0.0000
Tl: 0.7500 0.2500 0.5000
As: 0.6562 0.1250 0.2500
As: 0.0938 0.6250 0.2500
As: 0.3750 0.3438 0.7500
As: 0.8750 0.9062 0.7500

## Properties
offset from the most stable computed form	0.000	eV/atom
SG	I-42d (122)

# 6
The following is a PBE calculation of a relaxed structure of CeBe4Cu8, from the Alexandria database.

Unit cell a=4.5877 b=6.2927 c=6.2927 alpha=82.36 beta=68.62 gamma=68.62
Fractional coordinates of all 13 atoms:
Ce: 0.0000 0.0000 0.0000
Be: 0.0000 0.0000 0.5000
Be: 0.5000 0.0000 0.5000
Be: 0.0000 0.5000 0.0000
Be: 0.5000 0.5000 0.0000
Cu: 0.0000 0.3511 0.6489
Cu: 0.0000 0.6489 0.3511
Cu: 0.3511 0.6489 0.6489
Cu: 0.6489 0.3511 0.3511
Cu: 0.5000 0.7750 0.2250
Cu: 0.5000 0.2250 0.7750
Cu: 0.2750 0.2250 0.2250
Cu: 0.7250 0.7750 0.7750

## Properties
total DFT energy (no corrections)	-4.21	eV/atom
SG	I4/mmm (139)

# 7
The following is a PBE calculation of a relaxed structure of V6RuW5, from the Alexandria database.

Unit cell a=4.3333 b=6.1458 c=7.5328 alpha=114.08 beta=106.72 gamma=90.00
Fractional coordinates of all 12 atoms:
Ru: 0.0000 0.0000 0.0000
W: 0.6663 0.1663 0.3325
W: 0.3337 0.3337 0.6674
W: 0.0000 0.5000 0.0000
W: 0.6663 0.6663 0.3326
W: 0.3337 0.8337 0.6675
V: 0.8340 0.5845 0.6680
V: 0.8340 0.0835 0.6680
V: 0.5000 0.7505 0.0000
V: 0.5000 0.2495 0.0000
V: 0.1660 0.9165 0.3320
V: 0.1660 0.4155 0.3320

## Properties
total DFT energy (no corrections)	-10.88	eV/atom
SG	Immm (71)

# 8
The following is a PBE calculation of a relaxed structure of Ba2LiCl, from the Alexandria database.

Unit cell a=8.7192 b=8.7192 c=4.4821 alpha=104.91 beta=104.91 gamma=29.77
Fractional coordinates of all 4 atoms:
Ba: 0.0314 0.0314 0.0308
Ba: 0.2998 0.2998 0.3001
Cl: 0.5020 0.5020 0.5015
Li: 0.6668 0.6668 0.6675

## Properties
offset from the most stable computed form	0.000	eV/atom
SG	Cm (8)

# 9
The following is a PBE calculation of a relaxed structure of Ga2CuSnBi, from the Alexandria database.

Unit cell a=4.7799 b=4.7799 c=5.2494 alpha=90.00 beta=90.00 gamma=90.00
Fractional coordinates of all 5 atoms:
Cu: 0.0000 0.0000 0.0000
Bi: 0.5000 0.5000 0.5000
Ga: 0.0000 0.5000 0.0000
Ga: 0.5000 0.0000 0.0000
Sn: 0.0000 0.0000 0.5000

## Properties
total DFT energy (no corrections)	-3.49	eV/atom
SG	P4/mmm (123)

# 10
The following is a PBE calculation of a relaxed structure of Pr8DySc2, from the Alexandria database.

Unit cell a=5.9435 b=9.1015 c=9.3240 alpha=60.79 beta=75.18 gamma=58.39
Fractional coordinates of all 11 atoms:
Pr: 0.8300 0.0961 0.2390
Pr: 0.8300 0.3350 0.7610
Pr: 0.2948 0.4180 0.0000
Pr: 0.5000 0.7915 0.4170
Pr: 0.5000 0.2085 0.5830
Pr: 0.7052 0.5820 0.0000
Pr: 0.1700 0.6650 0.2390
Pr: 0.1700 0.9039 0.7610
Dy: 0.5000 0.0000 0.0000
Sc: 0.0000 0.3098 0.3804
Sc: 0.0000 0.6902 0.6196

## Properties
offset from the most stable computed form	0.034	eV/atom
SG	C2/m (12)

# 11
The following is a PBE calculation of a relaxed structure of AlV, from the Alexandria database.

Unit cell a=6.0106 b=6.0106 c=6.0106 alpha=90.00 beta=90.00 gamma=90.00
Fractional coordinates of all 8 atoms:
Al: 0.2500 0.2500 0.2500
Al: 0.2500 0.7500 0.7500
Al: 0.7500 0.2500 0.7500
Al: 0.7500 0.7500 0.2500
V: 0.0000 0.0000 0.0000
V: 0.0000 0.5000 0.5000
V: 0.5000 0.0000 0.5000
V: 0.5000 0.5000 0.0000

## Properties
total DFT energy (no corrections)	-4.75	eV/atom
SG	F-43m (216)

# 12
The following is a PBE calculation of a relaxed structure of KTa3V, from the Alexandria database.

Unit cell a=4.8505 b=4.8505 c=4.8505 alpha=90.00 beta=90.00 gamma=90.00
Fractional coordinates of all 5 atoms:
K: 0.5000 0.5000 0.5000
Ta: 0.0000 0.5000 0.0000
Ta: 0.0000 0.0000 0.5000
Ta: 0.5000 0.0000 0.0000
V: 0.0000 0.0000 0.0000

## Properties
offset from the most stable computed form	0.000	eV/atom
SG	Pm-3m (221)

# 13
The following is a PBE calculation of a relaxed structure of Ba4Tl, from the Alexandria database.

Unit cell a=11.8417 b=11.8417 c=11.8417 alpha=155.71 beta=155.71 gamma=34.61
Fractional coordinates of all 5 atoms:
Ba: 0.7500 0.2500 0.5000
Ba: 0.2500 0.7500 0.5000
Ba: 0.5837 0.5837 0.0000
Ba: 0.4163 0.4163 0.0000
Tl: 0.0000 0.0000 0.0000

## Properties
offset from the most stable computed form	0.291	eV/atom
SG	I4/mmm (139)

# 14
The following is a PBE calculation of a relaxed structure of MgMnCo, from the Alexandria database.

Unit cell a=5.1917 b=5.1917 c=5.1917 alpha=146.32 beta=146.32 gamma=48.38
Fractional coordinates of all 3 atoms:
Co: 0.0218 0.0218 0.0000
Mg: 0.3402 0.3402 0.0000
Mn: 0.6381 0.6381 0.0000

## Properties
offset from the most stable computed form	0.032	eV/atom
SG	I4mm (107)

# 15
The following is a PBE calculation of a relaxed structure of BaCr2Br, from the Alexandria database.

Unit cell a=5.6320 b=5.6320 c=5.6320 alpha=60.00 beta=60.00 gamma=60.00
Fractional coordinates of all 4 atoms:
Cr: 0.2500 0.2500 0.2500
Cr: 0.7500 0.7500 0.7500
Ba: 0.5000 0.5000 0.5000
Br: 0.0000 0.0000 0.0000

## Properties
offset from the most stable computed form	0.700	eV/atom
SG	Fm-3m (225)

# 16
The following is a PBE calculation of a relaxed structure of Ca2TaTc, from the Alexandria database.

Unit cell a=6.0720 b=5.9277 c=2.8773 alpha=86.81 beta=68.58 gamma=115.06
Fractional coordinates of all 4 atoms:
Ca: 0.0000 0.0000 0.0000
Ca: 0.5000 0.0000 0.5000
Tc: 0.5000 0.5000 0.0000
Ta: 0.0000 0.5000 0.5000

## Properties
offset from the most stable computed form	0.559	eV/atom
SG	C2/m (12)

# 17
The following is a PBE calculation of a relaxed structure of KAuN2, from the Alexandria database.

Unit cell a=7.2759 b=7.2759 c=7.2759 alpha=26.55 beta=26.55 gamma=26.55
Fractional coordinates of all 4 atoms:
K: 0.0000 0.0000 0.0000
Au: 0.5000 0.5000 0.5000
N: 0.8796 0.8796 0.8796
N: 0.1204 0.1204 0.1204

## Properties
offset from the most stable computed form	1.334	eV/atom
SG	R-3m (166)

# 18
The following is a PBE calculation of a relaxed structure of RbSbI2Cl, from the Alexandria database.

Unit cell a=7.0098 b=7.0098 c=4.9490 alpha=90.00 beta=90.00 gamma=90.00
Fractional coordinates of all 5 atoms:
I: 0.0000 0.5000 0.0000
I: 0.5000 0.0000 0.0000
Sb: 0.0000 0.0000 0.5000
Rb: 0.5000 0.5000 0.5000
Cl: 0.0000 0.0000 0.0000

## Properties
offset from the most stable computed form	0.588	eV/atom
SG	P4/mmm (123)

# 19
The following is a PBE calculation of a relaxed structure of Ho3Ag2Pd, from the Alexandria database.

Unit cell a=3.5682 b=3.5682 c=10.8136 alpha=90.00 beta=90.00 gamma=90.00
Fractional coordinates of all 6 atoms:
Ho: 0.0000 0.0000 0.0000
Ho: 0.0000 0.0000 0.6567
Ho: 0.0000 0.0000 0.3433
Ag: 0.5000 0.5000 0.8307
Ag: 0.5000 0.5000 0.1693
Pd: 0.5000 0.5000 0.5000

## Properties
offset from the most stable computed form	0.000	eV/atom
SG	P4/mmm (123)

# 20
The following is a PBE calculation of a relaxed structure of PuAl2Ge, from the Alexandria database.

Unit cell a=4.3568 b=4.1965 c=4.1965 alpha=90.00 beta=90.00 gamma=90.00
Fractional coordinates of all 4 atoms:
Ge: 0.5000 0.0000 0.0000
Al: 0.0000 0.0000 0.5000
Al: 0.0000 0.5000 0.0000
Pu: 0.5000 0.5000 0.5000

## Properties
offset from the most stable computed form	0.000	eV/atom
SG	P4/mmm (123)